# 1
Entry from Alexandria via LeMat-Bulk: a PBEsol-optimized structure of Sb3Pb5 (meta-GGA SCAN).

Lattice parameters (Å, degrees): 7.7769 11.0849 5.4018 90.00 90.00 90.00
Closest atoms and distances in Å follow each position.
Space group Cmmm (No. 65)
One atom of each set of equivalent atoms:
Sb (0.0000, 0.0000, 0.0000) (multiplicity 2)  8 Pb 3.22-3.39
Sb (0.0000, 0.2937, 0.5000) (multiplicity 4)  6 Pb 3.13-3.36
Pb (0.0000, 0.5000, 0.0000) (multiplicity 2)  8 Pb 3.39-3.44, 4 Sb 3.54
Pb (0.2251, 0.0000, 0.5000) (multiplicity 4)  4 Sb 3.13-3.22, 3 Pb 3.44-3.50
Pb (0.2500, 0.2500, 0.0000) (multiplicity 4)  6 Sb 3.36-3.39, 2 Pb 3.39

Values from the calculation:
Energy relative to the lowest polymorph listed for this composition (eV/f.u.): 0.16
Uncorrected formation energy (meV per atom): 71

=====

# 2
Entry from Alexandria via LeMat-Bulk: a PBEsol-optimized structure of Sm2GaAg (meta-GGA SCAN).

Lattice parameters (Å, degrees): 7.2475 7.2475 7.2475 90.00 90.00 90.00
Closest atoms and distances in Å follow each position.
Space group Fm-3m (No. 225)
One atom of each set of equivalent atoms:
Sm (0.2500, 0.2500, 0.2500) (multiplicity 8)  4 Ga 3.14, 4 Ag 3.14
Ga (0.0000, 0.0000, 0.0000) (multiplicity 4)  8 Sm 3.14
Ag (0.0000, 0.0000, 0.5000) (multiplicity 4)  8 Sm 3.14

Values from the calculation:
Energy of formation from the pure elements (eV per atom): -0.5056

=====

# 3
Entry from Alexandria via LeMat-Bulk: a PBEsol-optimized structure of SrZrSe2 (meta-GGA SCAN).

Lattice parameters (Å, degrees): 4.0677 4.0677 5.7283 90.00 90.00 90.00
Closest atoms and distances in Å follow each position.
Space group P4/mmm (No. 123)
One atom of each set of equivalent atoms:
Sr (0.0000, 0.0000, 0.0000) (multiplicity 1)  6 Se 2.86-2.88
Zr (0.5000, 0.5000, 0.5000) (multiplicity 1)  6 Se 2.86-2.88
Se (0.0000, 0.0000, 0.5000) (multiplicity 1)  2 Sr 2.86, 4 Zr 2.88
Se (0.5000, 0.5000, 0.0000) (multiplicity 1)  2 Zr 2.86, 4 Sr 2.88

Values from the calculation:
Energy relative to the lowest polymorph listed for this composition (eV/f.u.): 0.00
Uncorrected formation energy (meV per atom): -1488

=====

# 4
Entry from Alexandria via LeMat-Bulk: a PBEsol-optimized structure of Si2HgSb2 (meta-GGA SCAN).

Lattice parameters (Å, degrees): 5.1398 5.1398 8.6145 90.00 90.00 90.00
Closest atoms and distances in Å follow each position.
Space group I4/mmm (No. 139)
One atom of each set of equivalent atoms:
Si (0.0000, 0.0000, 0.1386) (multiplicity 4)  1 Si 2.39
Hg (0.0000, 0.0000, 0.5000) (multiplicity 2)  2 Si 3.11, 8 Sb 3.35
Sb (0.0000, 0.5000, 0.2500) (multiplicity 4)  4 Si 2.74

Values from the calculation:
Energy relative to the lowest polymorph listed for this composition (eV/f.u.): 0.00
Uncorrected formation energy (meV per atom): 337

=====

| no. | calculated density (g/cm³) | energy (eV per atom) |
| --- | --- | --- |
| 1 | 9.994 | -61.265 |
| 2 | 8.346 | -34.655 |
| 3 | 5.900 | -24.771 |
| 4 | 7.301 | -32.207 |